# CoH2CO3 PBE with a Hubbard U optimized geometry
data_CoH2CO3
_space_group_name_H-M_alt 'P 1'
_space_group_IT_number 1
_cell_length_a 7.514
_cell_length_b 7.514
_cell_length_c 7.514
_cell_angle_alpha 96.59
_cell_angle_beta 96.59
_cell_angle_gamma 96.59
loop_
_space_group_symop_operation_xyz
'x,y,z'
loop_
_atom_site_label
_atom_site_type_symbol
_atom_site_fract_x
_atom_site_fract_y
_atom_site_fract_z
C1 C 0.347 0.563 0.136
C2 C 0.563 0.136 0.347
C3 C 0.864 0.653 0.437
C4 C 0.136 0.347 0.563
C5 C 0.437 0.864 0.653
C6 C 0.653 0.437 0.864
Co1 Co 0.303 0.930 0.030
Co2 Co 0.970 0.697 0.070
Co3 Co 0.930 0.030 0.303
Co4 Co 0.070 0.970 0.697
Co5 Co 0.030 0.303 0.930
Co6 Co 0.697 0.070 0.970
H1 H 0.664 0.791 0.117
H2 H 0.426 0.450 0.159
H3 H 0.883 0.336 0.209
H4 H 0.209 0.883 0.336
H5 H 0.450 0.159 0.426
H6 H 0.159 0.426 0.450
H7 H 0.841 0.574 0.550
H8 H 0.550 0.841 0.574
H9 H 0.791 0.117 0.664
H10 H 0.117 0.664 0.791
H11 H 0.574 0.550 0.841
H12 H 0.336 0.209 0.883
O1 O 0.775 0.858 0.088
O2 O 0.176 0.524 0.107
O3 O 0.433 0.718 0.139
O4 O 0.912 0.225 0.142
O5 O 0.524 0.107 0.176
O6 O 0.142 0.912 0.225
O7 O 0.861 0.567 0.282
O8 O 0.718 0.139 0.433
O9 O 0.893 0.824 0.476
O10 O 0.107 0.176 0.524
O11 O 0.282 0.861 0.567
O12 O 0.139 0.433 0.718
O13 O 0.858 0.088 0.775
O14 O 0.476 0.893 0.824
O15 O 0.088 0.775 0.858
O16 O 0.567 0.282 0.861
O17 O 0.824 0.476 0.893
O18 O 0.225 0.142 0.912
# VASP energy in eV per atom: -6.10